No. 1
Below is crystalline ReHgOs2 at its relaxed geometry, with properties calculated at the PBE level.

Summary:
space group = No. 12
ΔH_f (0 K) = 0.65 eV per atom

Cell: 4.865 4.865 4.971 Å, 80.34 80.34 33.77°
Fractional positions:
Re1 0.750 0.750 0.750
Os1 0.014 0.014 0.967
Os2 0.486 0.486 0.533
Hg1 0.250 0.250 0.250

=====

No. 2
Below is crystalline ReHgOs2 at its relaxed geometry, with properties calculated at the PBE level.

Summary:
space group = No. 119
ΔH_f (0 K) = 0.86 eV per atom

Cell: 4.983 4.983 4.983 Å, 134.02 134.02 67.06°
Fractional positions:
Os1 0.250 0.750 0.500
Hg1 0.750 0.250 0.500
Re1 0.500 0.500 0.000
Os2 0.000 0.000 0.000